Entry from Alexandria via LeMat-Bulk: NpCoAuO6 after structural relaxation (GGA+U).

Properties
**DOS(E_F)**: 12.2 states/eV per cell
**Uncorrected energy**: -7.021 eV/atom

```
NpCoAuO6
1.0
-4.0149 -3.2933 -0.0406
4.4637 -1.3191 -2.3027
3.1028 -3.8842 8.2398
O Co Au Np
12 2 2 2
direct
0.6309 0.9832 0.3614
0.6477 0.6309 0.6386
0.6477 0.0168 0.8614
0.0168 0.6477 0.3614
0.9832 0.6309 0.8614
0.3523 0.3691 0.3614
0.0168 0.3691 0.1386
0.9832 0.3523 0.6386
0.3691 0.0168 0.6386
0.3523 0.9832 0.1386
0.6309 0.6477 0.1386
0.3691 0.3523 0.8614
0.6667 0.3333 0.7500
0.3333 0.6667 0.2500
0.0000 0.0000 0.5000
0.0000 0.0000 0.0000
0.3333 0.6667 0.7500
0.6667 0.3333 0.2500
```